Record 1
First-principles (PBE) data for an optimized crystal structure of InSnI2Br, as listed in Alexandria via LeMat-Bulk.

Calculated values
SG: P4/mmm (123)
calculated volume: 44.6 A^3/atom
E_tot: -2.763 eV/atom
energy relative to the elements, uncorrected: -0.46 eV/atom

Cell lengths 6.227, 6.227, 5.748 Å; angles 90.00, 90.00, 90.00 degrees
Fractional positions:
In 0.000 0.000 0.000
Sn 0.500 0.500 0.500
I 0.000 0.500 0.500
I 0.500 0.000 0.500
Br 0.500 0.500 0.000


Record 2
First-principles (PBE) data for an optimized crystal structure of NaInPb4, as listed in Alexandria via LeMat-Bulk.

Calculated values
DFT formation energy: 0.0575 eV per atom
SG: F-43m (216)
calculated volume: 33.2 A^3/atom
E_tot: -3.091 eV/atom

Cell lengths 6.559, 6.559, 6.559 Å; angles 60.00, 60.00, 60.00 degrees
Fractional positions:
Na 0.000 0.000 0.000
In 0.250 0.250 0.250
Pb 0.125 0.625 0.625
Pb 0.625 0.125 0.625
Pb 0.625 0.625 0.125
Pb 0.625 0.625 0.625


Record 3
First-principles (PBE) data for an optimized crystal structure of TbTm3Tl3, as listed in Alexandria via LeMat-Bulk.

Calculated values
DFT formation energy: -0.2143 eV per atom
SG: P6_3/m (176)
calculated volume: 27.9 A^3/atom
E_tot: -3.806 eV/atom

Cell lengths 9.302, 9.302, 5.207 Å; angles 90.00, 90.00, 120.00 degrees
Fractional positions:
Tb 0.333 0.667 0.250
Tb 0.667 0.333 0.750
Tm 0.004 0.231 0.250
Tm 0.227 0.996 0.250
Tm 0.231 0.227 0.750
Tm 0.769 0.773 0.250
Tm 0.773 0.004 0.750
Tm 0.996 0.769 0.750
Tl 0.074 0.450 0.750
Tl 0.376 0.926 0.750
Tl 0.450 0.376 0.250
Tl 0.550 0.624 0.750
Tl 0.624 0.074 0.250
Tl 0.926 0.550 0.250


Record 4
First-principles (PBE) data for an optimized crystal structure of Tb6CuHg3, as listed in Alexandria via LeMat-Bulk.

Calculated values
DFT formation energy: -0.2901 eV per atom
SG: P2_1/m (11)
calculated volume: 26.4 A^3/atom
E_tot: -3.568 eV/atom

Cell lengths 9.311, 5.199, 11.620 Å; angles 90.00, 110.04, 90.00 degrees
Fractional positions:
Tb 0.024 0.250 0.405
Tb 0.168 0.750 0.180
Tb 0.247 0.250 0.008
Tb 0.370 0.750 0.848
Tb 0.382 0.250 0.353
Tb 0.382 0.250 0.643
Tb 0.618 0.750 0.357
Tb 0.618 0.750 0.647
Tb 0.630 0.250 0.152
Tb 0.753 0.750 0.992
Tb 0.832 0.250 0.820
Tb 0.976 0.750 0.595
Cu 0.434 0.750 0.110
Cu 0.566 0.250 0.890
Hg 0.026 0.750 0.877
Hg 0.111 0.250 0.724
Hg 0.270 0.750 0.476
Hg 0.730 0.250 0.524
Hg 0.889 0.750 0.276
Hg 0.974 0.250 0.123


Record 5
First-principles (PBE) data for an optimized crystal structure of TlZnCu2, as listed in Alexandria via LeMat-Bulk.

Calculated values
DFT formation energy: 0.2907 eV per atom
SG: F-43m (216)
calculated volume: 16.2 A^3/atom
E_tot: -2.667 eV/atom

Cell lengths 6.370, 6.370, 6.370 Å; angles 90.00, 90.00, 90.00 degrees
Fractional positions:
Tl 0.000 0.000 0.000
Tl 0.000 0.500 0.500
Tl 0.500 0.000 0.500
Tl 0.500 0.500 0.000
Zn 0.250 0.250 0.250
Zn 0.250 0.750 0.750
Zn 0.750 0.250 0.750
Zn 0.750 0.750 0.250
Cu 0.000 0.000 0.500
Cu 0.000 0.500 0.000
Cu 0.250 0.250 0.750
Cu 0.250 0.750 0.250
Cu 0.500 0.000 0.000
Cu 0.500 0.500 0.500
Cu 0.750 0.250 0.250
Cu 0.750 0.750 0.750


Record 6
First-principles (PBE) data for an optimized crystal structure of Tm3BiSe6, as listed in Alexandria via LeMat-Bulk.

Calculated values
SG: Cmc2_1 (36)
calculated volume: 27.0 A^3/atom
E_tot: -5.225 eV/atom
energy relative to the elements, uncorrected: -1.40 eV/atom

Cell lengths 8.859, 8.859, 7.081 Å; angles 90.00, 90.00, 103.35 degrees
Fractional positions:
Tm 0.093 0.907 0.500
Tm 0.213 0.415 0.598
Tm 0.415 0.213 0.098
Tm 0.585 0.787 0.598
Tm 0.787 0.585 0.098
Tm 0.907 0.093 0.000
Bi 0.320 0.680 0.117
Bi 0.680 0.320 0.617
Se 0.053 0.598 0.332
Se 0.133 0.200 0.293
Se 0.200 0.133 0.793
Se 0.269 0.731 0.728
Se 0.402 0.947 0.332
Se 0.492 0.508 0.375
Se 0.508 0.492 0.875
Se 0.598 0.053 0.832
Se 0.731 0.269 0.228
Se 0.800 0.867 0.293
Se 0.867 0.800 0.793
Se 0.947 0.402 0.832


Record 7
First-principles (PBE) data for an optimized crystal structure of SrZnSi2Tc, as listed in Alexandria via LeMat-Bulk.

Calculated values
SG: P4/mmm (123)
calculated volume: 21.4 A^3/atom
E_tot: -5.037 eV/atom
energy relative to the elements, uncorrected: -0.20 eV/atom

Cell lengths 4.667, 4.667, 4.909 Å; angles 90.00, 90.00, 90.00 degrees
Fractional positions:
Sr 0.000 0.000 0.000
Zn 0.500 0.500 0.000
Si 0.000 0.500 0.500
Si 0.500 0.000 0.500
Tc 0.500 0.500 0.500


Record 8
First-principles (PBE) data for an optimized crystal structure of TaCo2Se, as listed in Alexandria via LeMat-Bulk.

Calculated values
SG: Amm2 (38)
calculated volume: 14.2 A^3/atom
E_tot: -7.443 eV/atom
energy relative to the elements, uncorrected: -0.06 eV/atom

Cell lengths 3.238, 3.137, 11.200 Å; angles 90.00, 90.00, 90.00 degrees
Fractional positions:
Ta 0.000 0.000 0.000
Ta 0.000 0.500 0.500
Co 0.000 0.000 0.244
Co 0.000 0.500 0.744
Co 0.500 0.000 0.607
Co 0.500 0.500 0.107
Se 0.500 0.000 0.812
Se 0.500 0.500 0.312


Record 9
First-principles (PBE) data for an optimized crystal structure of Fe3TcI, as listed in Alexandria via LeMat-Bulk.

Calculated values
SG: Pm-3m (221)
calculated volume: 20.3 A^3/atom
E_tot: -6.019 eV/atom
energy relative to the elements, uncorrected: 1.44 eV/atom

Cell lengths 4.668, 4.668, 4.668 Å; angles 90.00, 90.00, 90.00 degrees
Fractional positions:
Fe 0.000 0.000 0.500
Fe 0.000 0.500 0.000
Fe 0.500 0.000 0.000
Tc 0.000 0.000 0.000
I 0.500 0.500 0.500


Record 10
First-principles (PBE) data for an optimized crystal structure of ErTm2Cu, as listed in Alexandria via LeMat-Bulk.

Calculated values
DFT formation energy: -0.1258 eV per atom
SG: Pnma (62)
calculated volume: 25.7 A^3/atom
E_tot: -4.526 eV/atom

Cell lengths 6.741, 9.527, 6.406 Å; angles 90.00, 90.00, 90.00 degrees
Fractional positions:
Er 0.018 0.250 0.128
Er 0.482 0.750 0.628
Er 0.518 0.250 0.372
Er 0.982 0.750 0.872
Tm 0.192 0.059 0.689
Tm 0.192 0.441 0.689
Tm 0.308 0.559 0.189
Tm 0.308 0.941 0.189
Tm 0.692 0.059 0.811
Tm 0.692 0.441 0.811
Tm 0.808 0.559 0.311
Tm 0.808 0.941 0.311
Cu 0.092 0.750 0.452
Cu 0.408 0.250 0.952
Cu 0.592 0.750 0.048
Cu 0.908 0.250 0.548


Record 11
First-principles (PBE) data for an optimized crystal structure of Ce3HoRu8, as listed in Alexandria via LeMat-Bulk.

Calculated values
DFT formation energy: -0.2845 eV per atom
SG: R3m (160)
calculated volume: 18.1 A^3/atom
E_tot: -8.333 eV/atom

Cell lengths 9.283, 9.283, 9.283 Å; angles 33.48, 33.48, 33.48 degrees
Fractional positions:
Ce 0.000 0.000 0.000
Ce 0.125 0.125 0.125
Ce 0.498 0.498 0.498
Ho 0.623 0.623 0.623
Ru 0.059 0.561 0.561
Ru 0.061 0.061 0.564
Ru 0.061 0.564 0.061
Ru 0.311 0.311 0.311
Ru 0.561 0.059 0.561
Ru 0.561 0.561 0.059
Ru 0.564 0.061 0.061
Ru 0.811 0.811 0.811


Record 12
First-principles (PBE) data for an optimized crystal structure of ZrAs2RhSe, as listed in Alexandria via LeMat-Bulk.

Calculated values
SG: P4/mmm (123)
calculated volume: 27.0 A^3/atom
E_tot: -5.134 eV/atom
energy relative to the elements, uncorrected: 0.60 eV/atom

Cell lengths 5.148, 5.148, 5.086 Å; angles 90.00, 90.00, 90.00 degrees
Fractional positions:
Zr 0.000 0.000 0.000
As 0.000 0.500 0.000
As 0.500 0.000 0.000
Rh 0.500 0.500 0.500
Se 0.000 0.000 0.500